1.
Density functional theory data (PBE) for a geometry-optimized Mg6GaSb structure.

As for the magnetic moment: 0.000 μB per formula unit. As for the volume: 22.34 Å³/atom. Its relative energy among the computed polymorphs is 0.0 meV/atom. For the total energy, the calculation gives -17.33 eV/f.u.

abc: 5.3475 6.2560 6.2560
angles: 58.66 90.00 90.00
With the nearest neighbours (Å) after each atom.
Element x y z (fractional)
Mg  0.0000  0.0000  0.0000  2 Sb 3.07, 10 Mg 3.09-3.25
Mg  0.0000  0.4993  0.9897  8 Mg 3.01-3.30, 2 Sb 3.12-3.14, 2 Ga 3.14
Mg  0.0000  0.9897  0.4993  8 Mg 3.01-3.30, 2 Sb 3.12-3.14, 2 Ga 3.14
Mg  0.5000  0.1686  0.1686  2 Ga 3.07, 10 Mg 3.11-3.25
Mg  0.5000  0.1731  0.6693  8 Mg 3.04-3.30, 2 Ga 3.04-3.21, 2 Sb 3.18
Mg  0.5000  0.6693  0.1731  8 Mg 3.04-3.30, 2 Ga 3.04-3.21, 2 Sb 3.18
Ga  0.5000  0.6808  0.6808  10 Mg 3.04-3.21, 2 Sb 3.36
Sb  0.0000  0.4941  0.4941  10 Mg 3.07-3.18, 2 Ga 3.36

=====

2.
Density functional theory data (PBE) for a geometry-optimized Mg2Ga2Sb structure.

As for the magnetic moment: 0.000 μB per formula unit. As for the volume: 22.42 Å³/atom. Its relative energy among the computed polymorphs is 95.5 meV/atom. For the total energy, the calculation gives -13.27 eV/f.u.

abc: 6.6297 6.6297 6.6297
angles: 141.50 141.50 55.59
With the nearest neighbours (Å) after each atom.
Element x y z (fractional)
Mg  0.2500  0.7500  0.5000  4 Ga 2.79, 4 Mg 3.09
Mg  0.7500  0.2500  0.5000  4 Ga 2.79, 4 Mg 3.09
Ga  0.1024  0.1024  0.0000  1 Ga 2.40
Ga  0.8976  0.8976  0.0000  1 Ga 2.40
Sb  0.5000  0.5000  0.0000  8 Ga 3.32, 8 Mg 3.66